Entry 1:
# In2SiSbS PBE-GGA relaxed
data_In2SiSbS
_chemical_formula_sum 'In2 Si1 Sb1 S1'
_cell_length_a 5.7481
_cell_length_b 5.1765
_cell_length_c 5.7481
_cell_angle_alpha 90.00
_cell_angle_beta 90.00
_cell_angle_gamma 90.00
_symmetry_space_group_name_H-M 'P 1'
_symmetry_Int_Tables_number 1
_symmetry_space_group_name_Hall 'P 1'
loop_
_atom_site_label
_atom_site_fract_x
_atom_site_fract_y
_atom_site_fract_z
_atom_site_occupancy
Sb1 0.0000 0.0000 0.0000 1
S1 0.5000 0.5000 0.5000 1
Si1 0.0000 0.5000 0.0000 1
In1 0.0000 0.0000 0.5000 1
In2 0.5000 0.0000 0.0000 1
# ΔE_f (raw): 0.833 eV/atom
# V: 34.2 Å³/atom
# Calculated total energy: -3.00 eV per atom
# Total magnetization: 0.00 μB/atom


Entry 2:
# CeZn2In2 PBE-GGA relaxed
data_CeZn2In2
_chemical_formula_sum 'Ce1 Zn2 In2'
_cell_length_a 4.8275
_cell_length_b 4.8275
_cell_length_c 6.6104
_cell_angle_alpha 119.25
_cell_angle_beta 82.52
_cell_angle_gamma 120.61
_symmetry_space_group_name_H-M 'P 1'
_symmetry_Int_Tables_number 1
_symmetry_space_group_name_Hall 'P 1'
loop_
_atom_site_label
_atom_site_fract_x
_atom_site_fract_y
_atom_site_fract_z
_atom_site_occupancy
Ce1 0.5000 0.0000 0.0000 1
Zn1 0.1064 0.1275 0.7339 1
Zn2 0.8936 0.8725 0.2661 1
In1 0.7611 0.4197 0.6809 1
In2 0.2389 0.5803 0.3191 1
# Calculated formation energy: -107 kJ/mol of formula units
# V: 22.8 Å³/atom
# Calculated total energy: -3.01 eV per atom
# Total magnetization: 0.14 μB/atom


Entry 3:
# PuZnAgBi PBE-GGA relaxed
data_PuZnAgBi
_chemical_formula_sum 'Pu1 Zn1 Ag1 Bi1'
_cell_length_a 5.1333
_cell_length_b 5.1333
_cell_length_c 5.1333
_cell_angle_alpha 60.00
_cell_angle_beta 60.00
_cell_angle_gamma 60.00
_symmetry_space_group_name_H-M 'P 1'
_symmetry_Int_Tables_number 1
_symmetry_space_group_name_Hall 'P 1'
loop_
_atom_site_label
_atom_site_fract_x
_atom_site_fract_y
_atom_site_fract_z
_atom_site_occupancy
Zn1 0.7500 0.7500 0.7500 1
Bi1 0.2500 0.2500 0.2500 1
Ag1 0.5000 0.5000 0.5000 1
Pu1 0.0000 0.0000 0.0000 1
# Calculated formation energy: -19 kJ/mol of formula units
# V: 23.9 Å³/atom
# Calculated total energy: -5.63 eV per atom
# Total magnetization: 1.48 μB/atom


Entry 4:
# KInC PBE-GGA relaxed
data_KInC
_chemical_formula_sum 'K1 In1 C1'
_cell_length_a 3.8562
_cell_length_b 3.8562
_cell_length_c 5.4119
_cell_angle_alpha 90.00
_cell_angle_beta 90.00
_cell_angle_gamma 120.00
_symmetry_space_group_name_H-M 'P 1'
_symmetry_Int_Tables_number 1
_symmetry_space_group_name_Hall 'P 1'
loop_
_atom_site_label
_atom_site_fract_x
_atom_site_fract_y
_atom_site_fract_z
_atom_site_occupancy
K1 0.6667 0.3333 0.5000 1
C1 0.0000 0.0000 0.0000 1
In1 0.3333 0.6667 0.0000 1
# Calculated formation energy: 221 kJ/mol of formula units
# V: 23.2 Å³/atom
# Calculated total energy: -3.59 eV per atom
# Total magnetization: 0.00 μB/atom


Entry 5:
# CdAgAu2 PBE-GGA relaxed
data_CdAgAu2
_chemical_formula_sum 'Cd1 Ag1 Au2'
_cell_length_a 2.9867
_cell_length_b 2.9867
_cell_length_c 8.3559
_cell_angle_alpha 90.00
_cell_angle_beta 90.00
_cell_angle_gamma 90.03
_symmetry_space_group_name_H-M 'P 1'
_symmetry_Int_Tables_number 1
_symmetry_space_group_name_Hall 'P 1'
loop_
_atom_site_label
_atom_site_fract_x
_atom_site_fract_y
_atom_site_fract_z
_atom_site_occupancy
Au1 0.0000 0.0000 0.9984 1
Au2 0.5000 0.5000 0.2482 1
Ag1 0.5000 0.5000 0.7541 1
Cd1 0.0000 0.0000 0.4993 1
# Calculated formation energy: -23 kJ/mol of formula units
# V: 18.6 Å³/atom
# Calculated total energy: -2.64 eV per atom
# Total magnetization: 0.00 μB/atom


Entry 6:
# MnReAg2 PBE-GGA relaxed
data_MnReAg2
_chemical_formula_sum 'Mn1 Re1 Ag2'
_cell_length_a 4.4989
_cell_length_b 3.7574
_cell_length_c 3.7574
_cell_angle_alpha 90.00
_cell_angle_beta 90.00
_cell_angle_gamma 90.00
_symmetry_space_group_name_H-M 'P 1'
_symmetry_Int_Tables_number 1
_symmetry_space_group_name_Hall 'P 1'
loop_
_atom_site_label
_atom_site_fract_x
_atom_site_fract_y
_atom_site_fract_z
_atom_site_occupancy
Ag1 0.0000 0.0000 0.0000 1
Ag2 0.0000 0.5000 0.5000 1
Mn1 0.5000 0.5000 0.0000 1
Re1 0.5000 0.0000 0.5000 1
# Calculated formation energy: 275 kJ/mol of formula units
# V: 15.9 Å³/atom
# Calculated total energy: -6.12 eV per atom
# Total magnetization: 0.55 μB/atom
# Energy above the lowest structure with this stoichiometry: 386 meV/atom


Entry 7:
# RbInTe PBE-GGA relaxed
data_RbInTe
_chemical_formula_sum 'Rb4 In4 Te4'
_cell_length_a 7.2980
_cell_length_b 4.9386
_cell_length_c 14.2388
_cell_angle_alpha 90.00
_cell_angle_beta 107.28
_cell_angle_gamma 90.00
_symmetry_space_group_name_H-M 'P 1'
_symmetry_Int_Tables_number 1
_symmetry_space_group_name_Hall 'P 1'
loop_
_atom_site_label
_atom_site_fract_x
_atom_site_fract_y
_atom_site_fract_z
_atom_site_occupancy
Rb1 0.8715 0.0000 0.9085 1
Rb2 0.8715 0.5000 0.4085 1
Rb3 0.4482 0.0000 0.5398 1
Rb4 0.4482 0.5000 0.0398 1
In1 0.0008 0.0000 0.6459 1
In2 0.0008 0.5000 0.1459 1
In3 0.3300 0.0000 0.2089 1
In4 0.3300 0.5000 0.7089 1
Te1 0.3366 0.0000 0.8432 1
Te2 0.3366 0.5000 0.3432 1
Te3 0.7786 0.0000 0.2026 1
Te4 0.7786 0.5000 0.7026 1
# ΔE_f (raw): -0.610 eV/atom
# V: 40.8 Å³/atom
# Calculated total energy: -2.89 eV per atom
# Total magnetization: 0.00 μB/atom
# Energy above the lowest structure with this stoichiometry: 57 meV/atom


Entry 8:
# K5P2Au PBE-GGA relaxed
data_K5P2Au
_chemical_formula_sum 'K5 P2 Au1'
_cell_length_a 5.6509
_cell_length_b 5.6509
_cell_length_c 9.4994
_cell_angle_alpha 72.69
_cell_angle_beta 72.69
_cell_angle_gamma 60.00
_symmetry_space_group_name_H-M 'P 1'
_symmetry_Int_Tables_number 1
_symmetry_space_group_name_Hall 'P 1'
loop_
_atom_site_label
_atom_site_fract_x
_atom_site_fract_y
_atom_site_fract_z
_atom_site_occupancy
K1 0.5000 0.5000 0.5000 1
K2 0.3698 0.3698 0.8907 1
K3 0.6302 0.6302 0.1093 1
K4 0.2175 0.2175 0.3474 1
K5 0.7825 0.7825 0.6526 1
P1 0.0906 0.0906 0.7282 1
P2 0.9094 0.9094 0.2718 1
Au1 0.0000 0.0000 0.0000 1
# Calculated formation energy: -281 kJ/mol of formula units
# V: 30.8 Å³/atom
# Calculated total energy: -2.81 eV per atom
# Total magnetization: 0.00 μB/atom
# Energy above the lowest structure with this stoichiometry: 18 meV/atom


Q: V of number 2 (CeZn2In2)?
A: 22.8 Å³/atom